{
  "formula": "CrAuN2F",
  "functional": "PBE with a Hubbard U",
  "state": "optimized geometry",
  "lattice_angstrom": [[3.939, 0.000, 0.000], [0.000, 3.939, 0.000], [0.000, 0.000, 5.151]],
  "species": ["Cr", "Au", "N", "N", "F"],
  "frac_coords": [[0.000, 0.000, 0.000], [0.500, 0.500, 0.500], [0.000, 0.500, 0.500], [0.500, 0.000, 0.500], [0.500, 0.500, 0.000]],
  "m_tot_mub_per_cell": 1.790,
  "sg": "P4/mmm, No. 123",
  "polymorph_energy_mev_per_atom": 625
}